Entry 1:
Here is crystalline KNbF3 at its relaxed geometry from OQMD. Energies are from PBE.

Its energy above the most stable polymorph in this dataset is 29 meV per atom. The total moment comes out at 18.00 μB per cell.

The structure belongs to space group R-3 (No. 148, hexagonal axes); the cell edges are 6.1168, 6.1168 and 15.2652 Å and the angles 90.00°, 90.00° and 120.00°. The inequivalent atoms are K at (0.0000, 0.0000, 0.1382), Nb at (0.0000, 0.0000, 0.3509) and F at (0.0100, 0.3053, 0.2703).



Entry 2:
Here is crystalline CsNdCu3S4 at its relaxed geometry from OQMD. Energies are from PBE.

The total moment comes out at 0.99 μB per cell. The value obtained for the electronic total energy is -4.0608 eV per atom.

The structure belongs to space group P-43m (No. 215); the cell edges are 6.431, 6.431 and 6.431 Å and the angles 90.00°, 90.00° and 90.00°. The inequivalent atoms are Cs at (0.000, 0.000, 0.000), Nd at (0.500, 0.500, 0.500), Cu at (0.000, 0.500, 0.500) and S at (0.271, 0.271, 0.271).



Entry 3:
Here is crystalline GdPdO3 at its relaxed geometry from OQMD. Energies are from PBE.

The total moment comes out at 0.00 μB per cell. The value obtained for the electronic total energy is -6.5816 eV per atom.

The structure belongs to space group P4mm (No. 99); the cell edges are 3.905, 3.905 and 4.252 Å and the angles 90.00°, 90.00° and 90.00°. The inequivalent atoms are Gd at (0.000, 0.000, 0.000), Pd at (0.500, 0.500, 0.602), O at (0.000, 0.500, 0.685) and O at (0.500, 0.500, 0.111).



Entry 4:
Here is crystalline ZrGaFeCu at its relaxed geometry from OQMD. Energies are from PBE.

Its energy above the most stable polymorph in this dataset is 0 meV per atom. The total moment comes out at 5.58 μB per cell.

The structure belongs to space group F-43m (No. 216); the cell edges are 6.191, 6.191 and 6.191 Å and the angles 90.00°, 90.00° and 90.00°. The inequivalent atoms are Zr at (0.000, 0.000, 0.000), Ga at (0.000, 0.000, 0.500), Fe at (0.250, 0.250, 0.250) and Cu at (0.250, 0.250, 0.750).



Entry 5:
Here is crystalline LiZnSb at its relaxed geometry from OQMD. Energies are from PBE.

The value obtained for the electronic total energy is -2.6968 eV per atom.

The structure belongs to space group P6_3/mmc (No. 194); the cell edges are 4.4644, 4.4644 and 7.7234 Å and the angles 90.00°, 90.00° and 120.00°. The inequivalent atoms are Li at (0.0000, 0.0000, 0.0000), Zn at (0.3333, 0.6667, 0.2500) and Sb at (0.3333, 0.6667, 0.7500).



Entry 6:
Here is crystalline ThMg at its relaxed geometry from OQMD. Energies are from PBE.

The total moment comes out at 0.01 μB per cell. The value obtained for the electronic total energy is -4.3792 eV per atom.

The structure belongs to space group P2_1/m (No. 11); the cell edges are 6.925, 5.562 and 9.105 Å and the angles 90.00°, 101.61° and 90.00°. The inequivalent atoms are Th at (0.136, 0.250, 0.062), Th at (0.307, 0.250, 0.719), Th at (0.357, 0.750, 0.958), Mg at (0.026, 0.750, 0.606), Mg at (0.196, 0.750, 0.309) and Mg at (0.473, 0.250, 0.394).



Entry 7:
Here is crystalline Hf3Zn3CuNi2 at its relaxed geometry from OQMD. Energies are from PBE.

The total moment comes out at 0.01 μB per cell. For the energy of formation, the calculation gives -3.5 eV/f.u.

The structure belongs to space group P-62m (No. 189); the cell edges are 6.8669, 6.8669 and 3.4045 Å and the angles 90.00°, 90.00° and 120.00°. The inequivalent atoms are Hf at (0.0000, 0.5876, 0.0000), Zn at (0.0000, 0.2606, 0.5000), Cu at (0.0000, 0.0000, 0.0000) and Ni at (0.3333, 0.6667, 0.5000).



Entry 8:
Here is crystalline SrMgGePt at its relaxed geometry from OQMD. Energies are from PBE.

Its energy above the most stable polymorph in this dataset is 111 meV per atom. The total moment comes out at 0.00 μB per cell.

The structure belongs to space group F-43m (No. 216); the cell edges are 6.962, 6.962 and 6.962 Å and the angles 90.00°, 90.00° and 90.00°. The inequivalent atoms are Sr at (0.000, 0.000, 0.000), Mg at (0.250, 0.250, 0.250), Ge at (0.000, 0.000, 0.500) and Pt at (0.250, 0.250, 0.750).



Entry 9:
Here is crystalline ScCo2Si at its relaxed geometry from OQMD. Energies are from PBE.

The total moment comes out at 9.82 μB per cell. The value obtained for the electronic total energy is -6.6793 eV per atom.

The structure belongs to space group F-43m (No. 216); the cell edges are 5.943, 5.943 and 5.943 Å and the angles 90.00°, 90.00° and 90.00°. The inequivalent atoms are Sc at (0.000, 0.000, 0.000), Co at (0.000, 0.000, 0.500), Co at (0.250, 0.250, 0.250) and Si at (0.250, 0.250, 0.750).



Entry 10:
Here is crystalline PrCdGa at its relaxed geometry from OQMD. Energies are from PBE.

The total moment comes out at 0.00 μB per cell. The value obtained for the electronic total energy is -3.3343 eV per atom.

The structure belongs to space group F-43m (No. 216); the cell edges are 6.844, 6.844 and 6.844 Å and the angles 90.00°, 90.00° and 90.00°. The inequivalent atoms are Pr at (0.000, 0.000, 0.000), Cd at (0.000, 0.000, 0.500) and Ga at (0.250, 0.250, 0.750).



Entry 11:
Here is crystalline SrCoHgSe3 at its relaxed geometry from OQMD. Energies are from PBE.

Its energy above the most stable polymorph in this dataset is 112 meV per atom. The total moment comes out at 5.32 μB per cell.

The structure belongs to space group Cmcm (No. 63); the cell edges are 3.876, 14.006 and 11.323 Å and the angles 90.00°, 90.00° and 90.00°. The inequivalent atoms are Sr at (0.000, 0.199, 0.250), Co at (0.000, 0.000, 0.000), Hg at (0.000, 0.493, 0.250), Se at (0.000, 0.136, 0.750) and Se at (0.000, 0.396, 0.554).



Entry 12:
Here is crystalline Hf4NiBiC2 at its relaxed geometry from OQMD. Energies are from PBE.

The total moment comes out at 0.01 μB per cell. The value obtained for the electronic total energy is -9.0459 eV per atom.

The structure belongs to space group P-6m2 (No. 187); the cell edges are 3.3487, 3.3487 and 13.6394 Å and the angles 90.00°, 90.00° and 120.00°. The inequivalent atoms are Hf at (0.0000, 0.0000, 0.1358), Hf at (0.6667, 0.3333, 0.3203), Ni at (0.6667, 0.3333, 0.0000), Bi at (0.0000, 0.0000, 0.5000) and C at (0.3333, 0.6667, 0.2338).



Entry 13:
Here is crystalline HfBeTlCo at its relaxed geometry from OQMD. Energies are from PBE.

Its energy above the most stable polymorph in this dataset is 254 meV per atom. The total moment comes out at 0.87 μB per cell.

The structure belongs to space group F-43m (No. 216); the cell edges are 6.330, 6.330 and 6.330 Å and the angles 90.00°, 90.00° and 90.00°. The inequivalent atoms are Hf at (0.000, 0.000, 0.000), Be at (0.250, 0.250, 0.750), Tl at (0.250, 0.250, 0.250) and Co at (0.000, 0.000, 0.500).



Entry 14:
Here is crystalline SrPmAsO at its relaxed geometry from OQMD. Energies are from PBE.

Its energy above the most stable polymorph in this dataset is 0 meV per atom. The total moment comes out at 0.00 μB per cell.

The structure belongs to space group Pmc2_1 (No. 26); the cell edges are 4.330, 7.035 and 6.915 Å and the angles 90.00°, 90.00° and 90.00°. The inequivalent atoms are Sr at (0.000, 0.137, 0.000), Pm at (0.500, 0.472, 0.689), As at (0.000, 0.304, 0.435) and O at (0.500, 0.283, 0.958).



Entry 15:
Here is crystalline BaOsPt at its relaxed geometry from OQMD. Energies are from PBE.

Its energy above the most stable polymorph in this dataset is 0 meV per atom. The total moment comes out at 7.65 μB per cell.

The structure belongs to space group F-43m (No. 216); the cell edges are 6.720, 6.720 and 6.720 Å and the angles 90.00°, 90.00° and 90.00°. The inequivalent atoms are Ba at (0.000, 0.000, 0.000), Os at (0.250, 0.250, 0.250) and Pt at (0.000, 0.000, 0.500).



Entry 16:
Here is crystalline SmUIBr2N at its relaxed geometry from OQMD. Energies are from PBE.

The total moment comes out at 11.82 μB per cell. The value obtained for the electronic total energy is -6.2890 eV per atom.

The structure belongs to space group C2/m (No. 12); the cell edges are 18.865, 3.924 and 12.052 Å and the angles 90.00°, 124.32° and 90.00°. The inequivalent atoms are Sm at (0.074, 0.000, 0.461), U at (0.130, 0.500, 0.771), I at (0.161, 0.000, 0.013), Br at (0.039, 0.500, 0.251), Br at (0.214, 0.500, 0.618) and N at (0.077, 0.000, 0.659).



Entry 17:
Here is crystalline BaCdH2Cl2O2 at its relaxed geometry from OQMD. Energies are from PBE.

The value obtained for the electronic total energy is -4.4173 eV per atom.

The structure belongs to space group P3m1 (No. 156); the cell edges are 4.0594, 4.0594 and 10.1134 Å and the angles 90.00°, 90.00° and 120.00°. The inequivalent atoms are Ba at (0.0000, 0.0000, 0.0000), Cd at (0.3333, 0.6667, 0.4948), H at (0.6667, 0.3333, 0.1949), H at (0.6667, 0.3333, 0.6484), Cl at (0.0000, 0.0000, 0.3355), Cl at (0.3333, 0.6667, 0.7921), O at (0.6667, 0.3333, 0.0982) and O at (0.6667, 0.3333, 0.5516).



Entry 18:
Here is crystalline MoN2 at its relaxed geometry from OQMD. Energies are from PBE.

The total moment comes out at 0.00 μB per cell. The value obtained for the electronic total energy is -9.2264 eV per atom.

The structure belongs to space group R-3m (No. 166, hexagonal axes); the cell edges are 2.8961, 2.8961 and 11.8566 Å and the angles 90.00°, 90.00° and 120.00°. The inequivalent atoms are Mo at (0.0000, 0.0000, 0.0000) and N at (0.0000, 0.0000, 0.4442).



Entry 19:
Here is crystalline AlCu2Bi at its relaxed geometry from OQMD. Energies are from PBE.

The value obtained for the electronic total energy is -3.6730 eV per atom.

The structure belongs to space group Pm-3m (No. 221); the cell edges are 6.564, 6.564 and 6.564 Å and the angles 90.00°, 90.00° and 90.00°. The inequivalent atoms are Al at (0.000, 0.000, 0.000), Al at (0.000, 0.000, 0.500), Cu at (0.212, 0.212, 0.212), Bi at (0.000, 0.500, 0.500) and Bi at (0.500, 0.500, 0.500).



Entry 20:
Here is crystalline ThNi at its relaxed geometry from OQMD. Energies are from PBE.

The total moment comes out at 0.00 μB per cell. For the energy of formation, the calculation gives -0.1 eV/f.u.

The structure belongs to space group P6_3mc (No. 186); the cell edges are 4.7132, 4.7132 and 5.5509 Å and the angles 90.00°, 90.00° and 120.00°. The inequivalent atoms are Th at (0.3333, 0.6667, 0.0000) and Ni at (0.3333, 0.6667, 0.4988).



Entry 21:
Here is crystalline GdDy2Fe8Ni at its relaxed geometry from OQMD. Energies are from PBE.

The total moment comes out at 51.08 μB per cell. For the energy of formation, the calculation gives -1.2 eV/f.u.

The structure belongs to space group R-3m (No. 166, hexagonal axes); the cell edges are 5.0679, 5.0679 and 24.4110 Å and the angles 90.00°, 90.00° and 120.00°. The inequivalent atoms are Gd at (0.0000, 0.0000, 0.0000), Dy at (0.0000, 0.0000, 0.1420), Fe at (0.0000, 0.0000, 0.3329), Fe at (0.0019, 0.5009, 0.9186) and Ni at (0.0000, 0.0000, 0.5000).



Entry 22:
Here is crystalline CdB at its relaxed geometry from OQMD. Energies are from PBE.

Its energy above the most stable polymorph in this dataset is 55 meV per atom.

The structure belongs to space group P-6m2 (No. 187); the cell edges are 3.0732, 3.0732 and 3.6710 Å and the angles 90.00°, 90.00° and 120.00°. The inequivalent atoms are Cd at (0.0000, 0.0000, 0.0000) and B at (0.3333, 0.6667, 0.5000).



Entry 23:
Here is crystalline TaTePO at its relaxed geometry from OQMD. Energies are from PBE.

Its energy above the most stable polymorph in this dataset is 0 meV per atom. The total moment comes out at 0.00 μB per cell.

The structure belongs to space group Pmc2_1 (No. 26); the cell edges are 3.581, 7.398 and 7.218 Å and the angles 90.00°, 90.00° and 90.00°. The inequivalent atoms are Ta at (0.000, 0.044, 0.000), Te at (0.500, 0.265, 0.581), P at (0.500, 0.269, 0.926) and O at (0.000, 0.088, 0.258).



Entry 24:
Here is crystalline PrTmAg2O4 at its relaxed geometry from OQMD. Energies are from PBE.

The total moment comes out at 0.00 μB per cell. The value obtained for the electronic total energy is -6.5288 eV per atom.

The structure belongs to space group P-3m1 (No. 164); the cell edges are 3.5671, 3.5671 and 12.5148 Å and the angles 90.00°, 90.00° and 120.00°. The inequivalent atoms are Pr at (0.0000, 0.0000, 0.0000), Tm at (0.0000, 0.0000, 0.5000), Ag at (0.3333, 0.6667, 0.7426), O at (0.3333, 0.6667, 0.5775) and O at (0.3333, 0.6667, 0.9075).



Entry 25:
Here is crystalline ScReSn2 at its relaxed geometry from OQMD. Energies are from PBE.

The total moment comes out at 0.38 μB per cell. The value obtained for the electronic total energy is -6.3531 eV per atom.

The structure belongs to space group F-43m (No. 216); the cell edges are 6.863, 6.863 and 6.863 Å and the angles 90.00°, 90.00° and 90.00°. The inequivalent atoms are Sc at (0.000, 0.000, 0.000), Re at (0.250, 0.250, 0.750), Sn at (0.000, 0.000, 0.500) and Sn at (0.250, 0.250, 0.250).